1.
K3SbF6 (PBEsol, optimized geometry); final energy = -4.52 eV/atom; E_form (uncorrected) = -2.5716 eV/atom; spin magnetization = 0.00 Bohr magnetons per cell
1.0
-3.880 -2.690 -4.564
0.132 -6.487 -1.013
-5.109 -3.710 1.805
Sb K F
1 3 6
Direct
0.500 0.500 0.500 Sb
0.750 0.750 0.750 K
0.250 0.250 0.250 K
0.000 0.000 0.000 K
0.734 0.734 0.266 F
0.266 0.734 0.266 F
0.734 0.266 0.734 F
0.266 0.266 0.734 F
0.266 0.734 0.734 F
0.734 0.266 0.266 F


2.
KYPS2 (PBEsol, optimized geometry); final energy = -5.11 eV/atom; E_form (uncorrected) = -0.6063 eV/atom; spin magnetization = 1.44 Bohr magnetons per cell
1.0
5.238 0.000 0.000
0.000 5.238 0.000
0.000 0.000 5.351
Y P K S
1 1 1 2
Direct
0.000 0.000 0.000 Y
0.000 0.000 0.500 P
0.500 0.500 0.500 K
0.000 0.500 0.000 S
0.500 0.000 0.000 S


3.
YCo2S (PBEsol, optimized geometry); final energy = -7.15 eV/atom; E_form (uncorrected) = -0.4846 eV/atom; spin magnetization = 0.98 Bohr magnetons per cell
1.0
4.316 0.000 0.000
0.000 4.316 0.000
-2.158 -2.158 7.165
Y S Co
2 2 4
Direct
0.250 0.750 0.500 Y
0.000 0.000 0.000 Y
0.750 0.250 0.500 S
0.500 0.500 0.000 S
0.572 0.875 0.250 Co
0.678 0.375 0.250 Co
0.125 0.322 0.750 Co
0.625 0.428 0.750 Co